No. 1
ZnSbRu3 after structural relaxation, computed with GGA-PBE.

Properties
- Magnetization: 3.00 μB/cell
- Crystal system: cubic
- E_form (uncorrected): 1.53 eV per atom
- Offset from the most stable computed form: 281.7 meV/atom

a b c (Å): 4.816 4.816 4.816
angles (deg): 90.00 90.00 90.00
Fractional positions:
Ru: 0.000 0.000 0.500
Sb: 0.000 0.000 0.000
Zn: 0.500 0.500 0.500
Ru: 0.500 0.000 0.000
Ru: 0.000 0.500 0.000

No. 2
Li2DyPaTe4 after structural relaxation, computed with GGA-PBE.

Properties
- Magnetization: 1.83 μB/cell
- Crystal system: monoclinic
- E_form (uncorrected): -1.05 eV per atom

a b c (Å): 4.258 7.473 7.578
angles (deg): 108.81 90.00 90.00
Fractional positions:
Te: 0.500 0.748 0.741
Te: 0.000 0.243 0.737
Li: 0.500 0.000 0.500
Pa: 0.500 0.500 0.000
Te: 0.000 0.757 0.263
Dy: 0.000 0.000 0.000
Te: 0.500 0.252 0.259
Li: 0.000 0.500 0.500

No. 3
Be2CrTe after structural relaxation, computed with GGA-PBE.

Properties
- Magnetization: 2.57 μB/cell
- Crystal system: cubic
- E_form (uncorrected): 0.77 eV per atom

a b c (Å): 4.358 4.358 4.358
angles (deg): 60.00 60.00 60.00
Fractional positions:
Be: 0.000 0.000 0.000
Be: 0.250 0.250 0.250
Te: 0.750 0.750 0.750
Cr: 0.500 0.500 0.500

No. 4
LiBe2Pd4 after structural relaxation, computed with GGA-PBE.

Properties
- Magnetization: 0.00 μB/cell
- Crystal system: tetragonal
- Offset from the most stable computed form: 0.0 meV/atom

a b c (Å): 4.895 4.895 4.895
angles (deg): 109.78 109.32 109.32
Fractional positions:
Pd: 0.000 0.000 0.500
Be: 0.500 0.500 0.000
Be: 0.500 0.000 0.500
Li: 0.000 0.000 0.000
Pd: 0.000 0.500 0.000
Pd: 0.500 0.500 0.500
Pd: 0.500 0.000 0.000

No. 5
PrYIrPd after structural relaxation, computed with GGA-PBE.

Properties
- Magnetization: 0.00 μB/cell
- Crystal system: cubic
- Offset from the most stable computed form: 18.7 meV/atom

a b c (Å): 5.009 5.009 5.009
angles (deg): 60.00 60.00 60.00
Fractional positions:
Ir: 0.000 0.000 0.000
Pd: 0.500 0.500 0.500
Y: 0.750 0.750 0.750
Pr: 0.250 0.250 0.250